Entry 1:
Entry from Alexandria: crystalline CoAgHg2 at its relaxed geometry (PBE-GGA).

## Properties
Crystal system ... orthorhombic
Formation enthalpy at 0 K ... 9.365 kcal/mol of atoms

Lattice parameters (Å, degrees): 3.0039 4.0877 5.9953 90.00 90.00 90.00
Space group Pmm2 (No. 25)
Unique sites:
Co 0.0000 0.0000 0.0000 (multiplicity 1)
Ag 0.5000 0.5000 0.7574 (multiplicity 1)
Hg 0.0000 0.0000 0.5167 (multiplicity 1)
Hg 0.5000 0.5000 0.2139 (multiplicity 1)

Entry 2:
Entry from Alexandria: crystalline YZr2ScAs4 at its relaxed geometry (PBE-GGA).

## Properties
Crystal system ... monoclinic
Formation enthalpy at 0 K ... -29.432 kcal/mol of atoms

Lattice parameters (Å, degrees): 6.7811 3.9125 6.8695 90.00 109.27 90.00
Space group P2/m (No. 10)
Unique sites:
Y 0.0000 0.0000 0.0000 (multiplicity 1)
Zr 0.0000 0.5000 0.5000 (multiplicity 1)
Zr 0.5000 0.0000 0.5000 (multiplicity 1)
Sc 0.5000 0.5000 0.0000 (multiplicity 1)
As 0.2557 0.0000 0.7470 (multiplicity 2)
As 0.2593 0.5000 0.2580 (multiplicity 2)

Entry 3:
Entry from Alexandria: crystalline IrW2Br at its relaxed geometry (PBE-GGA).

## Properties
Crystal system ... orthorhombic
Uncorrected formation energy ... 0.97 eV/atom

Lattice parameters (Å, degrees): 2.9930 4.5998 9.4117 90.00 90.00 90.00
Space group Immm (No. 71)
Unique sites:
Ir 0.0000 0.0000 0.0000 (multiplicity 2)
W 0.0000 0.5000 0.2351 (multiplicity 4)
Br 0.0000 0.0000 0.5000 (multiplicity 2)

Entry 4:
Entry from Alexandria: crystalline LiSeIN2 at its relaxed geometry (PBE-GGA).

## Properties
Crystal system ... tetragonal
Uncorrected formation energy ... 1.40 eV/atom

Lattice parameters (Å, degrees): 3.9779 3.9779 5.8313 90.00 90.00 90.00
Space group P4/mmm (No. 123)
Unique sites:
Li 0.0000 0.0000 0.0000 (multiplicity 1)
Se 0.5000 0.5000 0.0000 (multiplicity 1)
I 0.5000 0.5000 0.5000 (multiplicity 1)
N 0.0000 0.5000 0.5000 (multiplicity 2)

Entry 5:
Entry from Alexandria: crystalline MgAu2S at its relaxed geometry (PBE-GGA).

## Properties
Crystal system ... tetragonal
Uncorrected formation energy ... -0.34 eV/atom

Lattice parameters (Å, degrees): 3.8148 3.8148 21.3079 90.00 90.00 90.00
Space group I-42d (No. 122)
Unique sites:
Mg 0.0000 0.0000 0.0000 (multiplicity 4)
Au 0.2484 0.2500 0.1250 (multiplicity 8)
S 0.0000 0.0000 0.5000 (multiplicity 4)

Entry 6:
Entry from Alexandria: crystalline Al2HgBr at its relaxed geometry (PBE-GGA).

## Properties
Crystal system ... trigonal
Uncorrected formation energy ... -0.01 eV/atom

Lattice parameters (Å, degrees): 3.6969 3.6969 24.8784 90.00 90.00 120.00
Space group R3m (No. 160, hexagonal axes)
Unique sites:
Al 0.0000 0.0000 0.0000 (multiplicity 3)
Al 0.0000 0.0000 0.2644 (multiplicity 3)
Hg 0.0000 0.0000 0.5261 (multiplicity 3)
Br 0.0000 0.0000 0.7370 (multiplicity 3)